Computed, not measured: a relaxed GaCo3F crystal at the GGA+U level of DFT.

Properties
Total energy ... -3.8449 eV/atom
Total moment ... 5.6 μB per cell

The structure in POSCAR format:
```
GaCo3F
1.0
4.133 0.000 0.000
0.000 4.133 0.000
0.000 0.000 4.133
Ga Co F
1 3 1
Direct
0.000 0.000 0.000
0.000 0.500 0.500
0.500 0.000 0.500
0.500 0.500 0.000
0.500 0.500 0.500
```